# 1
LiTlTeI2: relaxed, GGA-PBE.

Cell lengths 6.2671, 6.2671, 5.7762 Å; angles 90.00, 90.00, 90.00 degrees
With the nearest neighbours (Å) after each atom.
Space group P4/mmm (No. 123)
Symmetry-distinct sites (fractional):
Li  0.0000  0.0000  0.0000  8 I 4.26, 4 Te 4.43
Tl  0.5000  0.5000  0.5000  2 Te 2.89, 4 I 3.13
Te  0.5000  0.5000  0.0000  2 Tl 2.89
I  0.0000  0.5000  0.5000  2 Tl 3.13


# 2
LiVTe2I: relaxed, GGA-PBE.

Cell lengths 5.1952, 5.1952, 6.0662 Å; angles 90.00, 90.00, 90.00 degrees
With the nearest neighbours (Å) after each atom.
Space group P4/mmm (No. 123)
Symmetry-distinct sites (fractional):
Li  0.0000  0.0000  0.0000  4 I 3.67, 8 Te 3.99
V  0.5000  0.5000  0.5000  4 Te 2.60
Te  0.0000  0.5000  0.5000  2 V 2.60
I  0.5000  0.5000  0.0000  2 V 3.03


# 3
LiVTeI2: relaxed, GGA-PBE.

Cell lengths 5.7815, 5.7815, 5.1801 Å; angles 90.00, 90.00, 90.00 degrees
With the nearest neighbours (Å) after each atom.
Space group P4/mmm (No. 123)
Symmetry-distinct sites (fractional):
Li  0.0000  0.0000  0.0000  8 I 3.88, 4 Te 4.09
V  0.5000  0.5000  0.5000  2 Te 2.59, 4 I 2.89
Te  0.5000  0.5000  0.0000  2 V 2.59
I  0.0000  0.5000  0.5000  2 V 2.89


One value per record, in order, for polymorph energy (0 for the lowest one): 196, 0, 0 meV/atom.
One value per record, in order, for raw formation energy: -0.61, -0.81, -1.27 eV per formula unit.